Here is a relaxed NaCa2Pb2 crystal from the Alexandria database. Energies are from PBE.

Cell lengths 7.7328, 7.7328, 7.7328 Å; angles 140.12, 140.12, 57.67 degrees
With the nearest neighbours (Å) after each atom.
Element x y z (fractional)
Na (0.0000, 0.0000, 0.0000)  8 Pb 4.01, 8 Ca 4.29
Ca (0.2500, 0.7500, 0.5000)  4 Pb 3.27
Ca (0.7500, 0.2500, 0.5000)  4 Pb 3.27
Pb (0.3922, 0.3922, 0.0000)  1 Pb 2.92, 4 Ca 3.27
Pb (0.6078, 0.6078, 0.0000)  1 Pb 2.92, 4 Ca 3.27

Properties
The symmetry is No. 139. The formation energy is -15 kJ/mol of atoms.

***

Here is a relaxed CeNdCu2 crystal from the Alexandria database. Energies are from PBE.

Cell lengths 3.5364, 3.5364, 7.2165 Å; angles 90.00, 90.00, 90.00 degrees
With the nearest neighbours (Å) after each atom.
Element x y z (fractional)
Ce (0.0000, 0.0000, 0.0000)  8 Cu 3.06
Nd (0.0000, 0.0000, 0.5000)  8 Cu 3.11
Cu (0.5000, 0.5000, 0.2442)  4 Ce 3.06, 4 Nd 3.11
Cu (0.5000, 0.5000, 0.7558)  4 Ce 3.06, 4 Nd 3.11

Properties
The symmetry is No. 123. The formation energy is -7 kJ/mol of atoms.

***

Here is a relaxed NaAcY2Hg4 crystal from the Alexandria database. Energies are from PBE.

Cell lengths 9.6897, 9.6897, 9.6897 Å; angles 31.56, 31.56, 31.56 degrees
With the nearest neighbours (Å) after each atom.
Element x y z (fractional)
Na (0.0000, 0.0000, 0.0000)  8 Hg 3.13-3.24
Ac (0.5000, 0.5000, 0.5000)  8 Hg 3.38-3.49
Y (0.2594, 0.2594, 0.2594)  7 Hg 3.15-3.23
Y (0.7406, 0.7406, 0.7406)  7 Hg 3.15-3.23
Hg (0.1135, 0.1135, 0.1135)  1 Na 3.13, 3 Y 3.23, 3 Ac 3.38
Hg (0.3735, 0.3735, 0.3735)  4 Y 3.15-3.18, 3 Na 3.24, 1 Ac 3.49
Hg (0.6265, 0.6265, 0.6265)  4 Y 3.15-3.18, 3 Na 3.24, 1 Ac 3.49
Hg (0.8865, 0.8865, 0.8865)  1 Na 3.13, 3 Y 3.23, 3 Ac 3.38

Properties
The symmetry is No. 166. The formation energy is -38 kJ/mol of atoms.

***

Here is a relaxed FeCo5 crystal from the Alexandria database. Energies are from PBE.

Cell lengths 4.3282, 4.3282, 4.0667 Å; angles 90.00, 90.00, 120.00 degrees
With the nearest neighbours (Å) after each atom.
Element x y z (fractional)
Fe (0.0000, 0.0000, 0.0000)  12 Co 2.50
Co (0.0000, 0.6633, 0.5000)  10 Co 2.49-2.52, 2 Fe 2.50
Co (0.3333, 0.6667, 0.0000)  9 Co 2.49-2.50, 3 Fe 2.50
Co (0.3367, 0.3367, 0.5000)  10 Co 2.49-2.52, 2 Fe 2.50
Co (0.6633, 0.0000, 0.5000)  10 Co 2.49-2.52, 2 Fe 2.50
Co (0.6667, 0.3333, 0.0000)  9 Co 2.49-2.50, 3 Fe 2.50

Properties
The symmetry is No. 189. The formation energy is 2 kJ/mol of atoms.

***

Here is a relaxed Sr2CaPaSb4 crystal from the Alexandria database. Energies are from PBE.

Cell lengths 7.8823, 4.6584, 8.0157 Å; angles 90.00, 110.21, 90.00 degrees
With the nearest neighbours (Å) after each atom.
Element x y z (fractional)
Sr (0.0000, 0.0000, 0.0000)  6 Sb 3.42-3.47
Sr (0.5000, 0.5000, 0.0000)  6 Sb 3.32-3.33
Ca (0.0000, 0.5000, 0.5000)  6 Sb 3.20-3.22
Pa (0.5000, 0.0000, 0.5000)  6 Sb 3.05-3.10
Sb (0.2561, 0.0000, 0.7245)  1 Pa 3.05, 2 Ca 3.20, 2 Sr 3.33
Sb (0.2720, 0.5000, 0.2794)  2 Pa 3.10, 1 Ca 3.22, 3 Sr 3.32-3.42
Sb (0.7280, 0.5000, 0.7206)  2 Pa 3.10, 1 Ca 3.22, 3 Sr 3.32-3.42
Sb (0.7439, 0.0000, 0.2755)  1 Pa 3.05, 2 Ca 3.20, 2 Sr 3.33

Properties
The symmetry is No. 10. As for the uncorrected formation energy: -809 meV/atom.

***

Here is a relaxed KLi2Os crystal from the Alexandria database. Energies are from PBE.

Cell lengths 2.7259, 2.7259, 10.8083 Å; angles 90.00, 90.00, 106.32 degrees
With the nearest neighbours (Å) after each atom.
Element x y z (fractional)
K (0.0000, 0.0000, 0.0000)  4 K 2.73
Li (0.0000, 0.0000, 0.5541)  2 Os 2.64, 4 Li 2.73
Li (0.5000, 0.5000, 0.3135)  4 Li 2.73
Os (0.5000, 0.5000, 0.7462)  2 Li 2.64, 4 Os 2.73

Properties
The symmetry is No. 35. The formation energy is 64 kJ/mol of atoms.

***

Here is a relaxed SbAs2F crystal from the Alexandria database. Energies are from PBE.

Cell lengths 6.9625, 6.9625, 6.9625 Å; angles 95.73, 95.73, 143.15 degrees
With the nearest neighbours (Å) after each atom.
Element x y z (fractional)
Sb (0.0000, 0.0000, 0.0000)  2 F 2.20
Sb (0.7500, 0.2500, 0.5000)  2 F 2.20
As (0.0538, 0.6250, 0.9288)  2 As 2.57
As (0.3750, 0.3038, 0.4288)  2 As 2.57
As (0.6962, 0.1250, 0.0712)  2 As 2.57
As (0.8750, 0.9462, 0.5712)  2 As 2.57
F (0.2500, 0.7500, 0.5000)  2 Sb 2.20
F (0.5000, 0.5000, 0.0000)  2 Sb 2.20

Properties
The symmetry is No. 122. As for the uncorrected formation energy: -562 meV/atom.

***

Here is a relaxed BeSF crystal from the Alexandria database. Energies are from PBE.

Cell lengths 4.4908, 3.0878, 5.2790 Å; angles 90.00, 96.98, 90.00 degrees
With the nearest neighbours (Å) after each atom.
Element x y z (fractional)
Be (0.0070, 0.2500, 0.2931)  1 F 1.62
Be (0.9930, 0.7500, 0.7069)  1 F 1.62
S (0.2665, 0.2500, 0.9845)  3 Be 2.12-2.37
S (0.7335, 0.7500, 0.0155)  3 Be 2.12-2.37
F (0.1904, 0.7500, 0.4705)  1 Be 1.62
F (0.8096, 0.2500, 0.5295)  1 Be 1.62

Properties
The symmetry is No. 11. As for the uncorrected formation energy: -1432 meV/atom.

***

Here is a relaxed PmTaBeN3 crystal from the Alexandria database. Energies are from PBE.

Cell lengths 6.8037, 3.1652, 6.8887 Å; angles 90.00, 105.40, 90.00 degrees
With the nearest neighbours (Å) after each atom.
Element x y z (fractional)
Pm (0.1941, 0.2500, 0.2223)  7 N 2.44-2.67
Pm (0.8059, 0.7500, 0.7777)  7 N 2.44-2.67
Ta (0.3373, 0.7500, 0.8359)  6 N 2.11-2.19
Ta (0.6627, 0.2500, 0.1641)  6 N 2.11-2.19
Be (0.0802, 0.2500, 0.5998)  4 N 1.71-1.82
Be (0.9198, 0.7500, 0.4002)  4 N 1.71-1.82
N (0.1204, 0.2500, 0.8561)  1 Be 1.71
N (0.1745, 0.7500, 0.5288)  3 Be 1.72-1.82
N (0.4484, 0.7500, 0.1627)  3 Ta 2.15-2.18
N (0.5516, 0.2500, 0.8373)  3 Ta 2.15-2.18
N (0.8255, 0.2500, 0.4712)  3 Be 1.72-1.82
N (0.8796, 0.7500, 0.1439)  1 Be 1.71

Properties
The symmetry is No. 11. As for the uncorrected formation energy: -1199 meV/atom.

***

Here is a relaxed Ho4Ga12Au crystal from the Alexandria database. Energies are from PBE.

Cell lengths 7.5006, 7.5006, 7.5006 Å; angles 109.47, 109.47, 109.47 degrees
With the nearest neighbours (Å) after each atom.
Element x y z (fractional)
Ho (0.0000, 0.0000, 0.5000)  12 Ga 3.06-3.10
Ho (0.0000, 0.5000, 0.0000)  12 Ga 3.06-3.10
Ho (0.5000, 0.0000, 0.0000)  12 Ga 3.06-3.10
Ho (0.5000, 0.5000, 0.5000)  12 Ga 3.06-3.10
Ga (0.0000, 0.3039, 0.3039)  1 Au 2.63, 4 Ga 2.75
Ga (0.0000, 0.6961, 0.6961)  1 Au 2.63, 4 Ga 2.75
Ga (0.2500, 0.5000, 0.7500)  8 Ga 2.75-3.06, 4 Ho 3.06
Ga (0.2500, 0.7500, 0.5000)  8 Ga 2.75-3.06, 4 Ho 3.06
Ga (0.3039, 0.0000, 0.3039)  1 Au 2.63, 4 Ga 2.75
Ga (0.3039, 0.3039, 0.0000)  1 Au 2.63, 4 Ga 2.75
Ga (0.5000, 0.2500, 0.7500)  8 Ga 2.75-3.06, 4 Ho 3.06
Ga (0.5000, 0.7500, 0.2500)  8 Ga 2.75-3.06, 4 Ho 3.06
Ga (0.6961, 0.0000, 0.6961)  1 Au 2.63, 4 Ga 2.75
Ga (0.6961, 0.6961, 0.0000)  1 Au 2.63, 4 Ga 2.75
Ga (0.7500, 0.2500, 0.5000)  8 Ga 2.75-3.06, 4 Ho 3.06
Ga (0.7500, 0.5000, 0.2500)  8 Ga 2.75-3.06, 4 Ho 3.06
Au (0.0000, 0.0000, 0.0000)  6 Ga 2.63

Properties
The symmetry is No. 229. The formation energy is -52 kJ/mol of atoms.

***

Here is a relaxed ZnHgCO2 crystal from the Alexandria database. Energies are from PBE.

Cell lengths 4.3123, 4.3123, 4.0960 Å; angles 90.00, 90.00, 90.00 degrees
With the nearest neighbours (Å) after each atom.
Element x y z (fractional)
Zn (0.0000, 0.0000, 0.0000)  8 O 2.97, 4 C 3.05
Hg (0.5000, 0.5000, 0.5000)  2 C 2.05, 4 O 2.16
C (0.5000, 0.5000, 0.0000)  2 Hg 2.05
O (0.0000, 0.5000, 0.5000)  2 Hg 2.16
O (0.5000, 0.0000, 0.5000)  2 Hg 2.16

Properties
The symmetry is No. 123. As for the uncorrected formation energy: 1483 meV/atom.

***

Here is a relaxed CsSiTeCSe crystal from the Alexandria database. Energies are from PBE.

Cell lengths 3.4107, 5.9199, 8.0936 Å; angles 98.29, 100.39, 92.97 degrees
With the nearest neighbours (Å) after each atom.
Element x y z (fractional)
Cs (0.0000, 0.0000, 0.0000)  2 C 3.30-3.40, 2 Cs 3.41, 1 Si 3.64
Si (0.7602, 0.6629, 0.5769)  2 C 1.86-1.87
Te (0.6162, 0.5596, 0.2534)  1 Si 2.55
C (0.3048, 0.7317, 0.6649)  2 Si 1.86-1.87, 1 Se 2.06
Se (0.5084, 0.4412, 0.7526)  1 C 2.06

Properties
The symmetry is No. 1. As for the uncorrected formation energy: 135 meV/atom.

***

Taking the records one at a time from the top gives E values of -13.54, -19.17, -22.73, -43.84, -37.83, -13.52, -35.08, -28.04, -104.99, -66.99, -13.30, -21.45 eV per cell.